--- a ---
Computed, not measured: a geometry-optimized AcTcPO structure at the PBE level of DFT.

a = 4.291 Å, b = 6.502 Å, c = 6.190 Å
α = 90.00°, β = 90.00°, γ = 90.00°
Atoms (fractional coordinates):
Ac 0.000 0.222 0.000
Ac 0.000 0.778 0.500
Tc 0.500 0.382 0.568
Tc 0.500 0.618 0.068
P 0.000 0.255 0.497
P 0.000 0.745 0.997
O 0.500 0.352 0.894
O 0.500 0.648 0.394


--- b ---
Computed, not measured: a geometry-optimized AcTcPO structure at the PBE level of DFT.

a = 4.015 Å, b = 6.106 Å, c = 6.564 Å
α = 90.00°, β = 90.00°, γ = 90.00°
Atoms (fractional coordinates):
Ac 0.000 0.217 0.000
Ac 0.000 0.783 0.500
Tc 0.500 0.263 0.416
Tc 0.500 0.737 0.916
P 0.500 0.451 0.702
P 0.500 0.549 0.202
O 0.000 0.155 0.374
O 0.000 0.845 0.874


Which structure wins on stability? b wins.


--- a ---
Computed, not measured: a geometry-optimized AcZrPO structure at the PBE level of DFT.

a = 4.058 Å, b = 6.554 Å, c = 6.793 Å
α = 90.00°, β = 90.00°, γ = 90.00°
Atoms (fractional coordinates):
Ac 0.000 0.248 0.000
Ac 0.000 0.752 0.500
Zr 0.500 0.216 0.448
Zr 0.500 0.784 0.948
P 0.500 0.473 0.726
P 0.500 0.527 0.226
O 0.000 0.133 0.406
O 0.000 0.867 0.906


--- b ---
Computed, not measured: a geometry-optimized AcZrPO structure at the PBE level of DFT.

a = 4.326 Å, b = 4.326 Å, c = 9.318 Å
α = 90.00°, β = 90.00°, γ = 90.00°
Atoms (fractional coordinates):
Ac 0.250 0.250 0.131
Ac 0.750 0.750 0.869
Zr 0.250 0.750 0.500
Zr 0.750 0.250 0.500
P 0.250 0.250 0.663
P 0.750 0.750 0.337
O 0.250 0.750 0.000
O 0.750 0.250 0.000


Which structure wins on stability? b wins.


--- a ---
Computed, not measured: a geometry-optimized AcZrPO structure at the PBE level of DFT.

a = 4.572 Å, b = 4.572 Å, c = 8.666 Å
α = 90.00°, β = 90.00°, γ = 90.00°
Atoms (fractional coordinates):
Ac 0.250 0.750 0.000
Ac 0.750 0.250 0.000
Zr 0.250 0.250 0.485
Zr 0.750 0.750 0.515
P 0.250 0.250 0.775
P 0.750 0.750 0.225
O 0.250 0.750 0.500
O 0.750 0.250 0.500


--- b ---
Computed, not measured: a geometry-optimized AcZrPO structure at the PBE level of DFT.

a = 4.291 Å, b = 7.344 Å, c = 6.225 Å
α = 90.00°, β = 90.00°, γ = 90.00°
Atoms (fractional coordinates):
Ac 0.000 0.210 0.000
Ac 0.000 0.790 0.500
Zr 0.500 0.387 0.552
Zr 0.500 0.613 0.052
P 0.000 0.200 0.496
P 0.000 0.800 0.996
O 0.500 0.358 0.889
O 0.500 0.642 0.389


Which structure wins on stability? b wins.


--- a ---
Computed, not measured: a geometry-optimized Ac2Pm2O5 structure at the PBE level of DFT.

a = 4.504 Å, b = 4.504 Å, c = 8.156 Å
α = 90.00°, β = 90.00°, γ = 90.00°
Atoms (fractional coordinates):
Ac 0.000 0.000 0.225
Ac 0.000 0.000 0.775
Pm 0.500 0.500 0.000
Pm 0.500 0.500 0.500
O 0.000 0.000 0.500
O 0.000 0.500 0.299
O 0.000 0.500 0.701
O 0.500 0.000 0.299
O 0.500 0.000 0.701


--- b ---
Computed, not measured: a geometry-optimized Ac2Pm2O5 structure at the PBE level of DFT.

a = 4.500 Å, b = 4.500 Å, c = 8.246 Å
α = 90.00°, β = 90.00°, γ = 90.00°
Atoms (fractional coordinates):
Ac 0.000 0.000 0.000
Ac 0.000 0.000 0.500
Pm 0.500 0.500 0.234
Pm 0.500 0.500 0.766
O 0.000 0.500 0.255
O 0.000 0.500 0.745
O 0.500 0.000 0.255
O 0.500 0.000 0.745
O 0.500 0.500 0.500


Which structure wins on stability? b wins.


--- a ---
Computed, not measured: a geometry-optimized Ac2Pt2O5 structure at the PBE level of DFT.

a = 3.833 Å, b = 3.833 Å, c = 10.034 Å
α = 90.00°, β = 90.00°, γ = 90.00°
Atoms (fractional coordinates):
Ac 0.000 0.000 0.238
Ac 0.000 0.000 0.762
Pt 0.500 0.500 0.000
Pt 0.500 0.500 0.500
O 0.000 0.000 0.000
O 0.000 0.500 0.381
O 0.000 0.500 0.619
O 0.500 0.000 0.381
O 0.500 0.000 0.619


--- b ---
Computed, not measured: a geometry-optimized Ac2Pt2O5 structure at the PBE level of DFT.

a = 4.160 Å, b = 4.160 Å, c = 7.342 Å
α = 90.00°, β = 90.00°, γ = 90.00°
Atoms (fractional coordinates):
Ac 0.000 0.000 0.000
Ac 0.000 0.000 0.500
Pt 0.500 0.500 0.195
Pt 0.500 0.500 0.805
O 0.000 0.500 0.236
O 0.000 0.500 0.764
O 0.500 0.000 0.236
O 0.500 0.000 0.764
O 0.500 0.500 0.500


Which structure wins on stability? b wins.


--- a ---
Computed, not measured: a geometry-optimized Ac2Tb2O5 structure at the PBE level of DFT.

a = 4.472 Å, b = 4.472 Å, c = 8.155 Å
α = 90.00°, β = 90.00°, γ = 90.00°
Atoms (fractional coordinates):
Ac 0.000 0.000 0.226
Ac 0.000 0.000 0.774
Tb 0.500 0.500 0.000
Tb 0.500 0.500 0.500
O 0.000 0.000 0.500
O 0.000 0.500 0.305
O 0.000 0.500 0.695
O 0.500 0.000 0.305
O 0.500 0.000 0.695


--- b ---
Computed, not measured: a geometry-optimized Ac2Tb2O5 structure at the PBE level of DFT.

a = 4.397 Å, b = 4.397 Å, c = 8.143 Å
α = 90.00°, β = 90.00°, γ = 90.00°
Atoms (fractional coordinates):
Ac 0.000 0.000 0.000
Ac 0.000 0.000 0.500
Tb 0.500 0.500 0.236
Tb 0.500 0.500 0.764
O 0.000 0.500 0.251
O 0.000 0.500 0.749
O 0.500 0.000 0.251
O 0.500 0.000 0.749
O 0.500 0.500 0.500


Which structure wins on stability? b wins.


--- a ---
Computed, not measured: a geometry-optimized Ac2Zn2O5 structure at the PBE level of DFT.

a = 4.175 Å, b = 4.175 Å, c = 9.318 Å
α = 90.00°, β = 90.00°, γ = 90.00°
Atoms (fractional coordinates):
Ac 0.000 0.000 0.241
Ac 0.000 0.000 0.759
Zn 0.500 0.500 0.000
Zn 0.500 0.500 0.500
O 0.000 0.000 0.500
O 0.000 0.500 0.124
O 0.000 0.500 0.876
O 0.500 0.000 0.124
O 0.500 0.000 0.876


--- b ---
Computed, not measured: a geometry-optimized Ac2Zn2O5 structure at the PBE level of DFT.

a = 4.052 Å, b = 4.052 Å, c = 7.558 Å
α = 90.00°, β = 90.00°, γ = 90.00°
Atoms (fractional coordinates):
Ac 0.000 0.000 0.000
Ac 0.000 0.000 0.500
Zn 0.500 0.500 0.243
Zn 0.500 0.500 0.757
O 0.000 0.500 0.216
O 0.000 0.500 0.784
O 0.500 0.000 0.216
O 0.500 0.000 0.784
O 0.500 0.500 0.500


Which structure wins on stability? b wins.


--- a ---
Computed, not measured: a geometry-optimized AcSiOs structure at the PBE level of DFT.

a = 4.675 Å, b = 4.675 Å, c = 4.675 Å
α = 60.00°, β = 60.00°, γ = 60.00°
Atoms (fractional coordinates):
Ac 0.000 0.000 0.000
Si 0.250 0.250 0.250
Os 0.500 0.500 0.500


--- b ---
Computed, not measured: a geometry-optimized AcSiOs structure at the PBE level of DFT.

a = 4.683 Å, b = 4.683 Å, c = 4.683 Å
α = 60.00°, β = 60.00°, γ = 60.00°
Atoms (fractional coordinates):
Ac 0.000 0.000 0.000
Si 0.500 0.500 0.500
Os 0.250 0.250 0.250


--- c ---
Computed, not measured: a geometry-optimized AcSiOs structure at the PBE level of DFT.

a = 4.295 Å, b = 4.295 Å, c = 7.631 Å
α = 90.00°, β = 90.00°, γ = 90.00°
Atoms (fractional coordinates):
Ac 0.250 0.250 0.186
Ac 0.750 0.750 0.814
Si 0.250 0.250 0.655
Si 0.750 0.750 0.345
Os 0.250 0.750 0.500
Os 0.750 0.250 0.500


Which structure wins on stability? c wins.


--- a ---
Computed, not measured: a geometry-optimized AcZnOs structure at the PBE level of DFT.

a = 4.682 Å, b = 4.682 Å, c = 4.682 Å
α = 60.00°, β = 60.00°, γ = 60.00°
Atoms (fractional coordinates):
Ac 0.000 0.000 0.000
Zn 0.250 0.250 0.250
Os 0.500 0.500 0.500


--- b ---
Computed, not measured: a geometry-optimized AcZnOs structure at the PBE level of DFT.

a = 4.904 Å, b = 4.904 Å, c = 4.904 Å
α = 60.00°, β = 60.00°, γ = 60.00°
Atoms (fractional coordinates):
Ac 0.000 0.000 0.000
Zn 0.250 0.250 0.250
Os 0.750 0.750 0.750


Which structure wins on stability? a wins.


--- a ---
Computed, not measured: a geometry-optimized AcPdPb structure at the PBE level of DFT.

a = 5.254 Å, b = 5.254 Å, c = 5.254 Å
α = 60.00°, β = 60.00°, γ = 60.00°
Atoms (fractional coordinates):
Ac 0.000 0.000 0.000
Pd 0.250 0.250 0.250
Pb 0.750 0.750 0.750


--- b ---
Computed, not measured: a geometry-optimized AcPdPb structure at the PBE level of DFT.

a = 4.922 Å, b = 4.922 Å, c = 4.016 Å
α = 90.00°, β = 90.00°, γ = 120.00°
Atoms (fractional coordinates):
Ac 0.000 0.000 0.000
Pd 0.333 0.667 0.500
Pb 0.667 0.333 0.500


--- c ---
Computed, not measured: a geometry-optimized AcPdPb structure at the PBE level of DFT.

a = 5.046 Å, b = 5.046 Å, c = 5.046 Å
α = 60.00°, β = 60.00°, γ = 60.00°
Atoms (fractional coordinates):
Ac 0.000 0.000 0.000
Pd 0.250 0.250 0.250
Pb 0.500 0.500 0.500


Which structure wins on stability? b wins.


--- a ---
Computed, not measured: a geometry-optimized AcPtPb structure at the PBE level of DFT.

a = 5.211 Å, b = 5.211 Å, c = 5.211 Å
α = 60.00°, β = 60.00°, γ = 60.00°
Atoms (fractional coordinates):
Ac 0.000 0.000 0.000
Pt 0.250 0.250 0.250
Pb 0.750 0.750 0.750


--- b ---
Computed, not measured: a geometry-optimized AcPtPb structure at the PBE level of DFT.

a = 5.086 Å, b = 5.086 Å, c = 5.086 Å
α = 60.00°, β = 60.00°, γ = 60.00°
Atoms (fractional coordinates):
Ac 0.000 0.000 0.000
Pt 0.500 0.500 0.500
Pb 0.250 0.250 0.250


Which structure wins on stability? b wins.


--- a ---
Computed, not measured: a geometry-optimized AcPuPb structure at the PBE level of DFT.

a = 5.523 Å, b = 5.523 Å, c = 5.523 Å
α = 60.00°, β = 60.00°, γ = 60.00°
Atoms (fractional coordinates):
Ac 0.000 0.000 0.000
Pu 0.500 0.500 0.500
Pb 0.250 0.250 0.250


--- b ---
Computed, not measured: a geometry-optimized AcPuPb structure at the PBE level of DFT.

a = 5.503 Å, b = 5.503 Å, c = 5.503 Å
α = 60.00°, β = 60.00°, γ = 60.00°
Atoms (fractional coordinates):
Ac 0.000 0.000 0.000
Pu 0.250 0.250 0.250
Pb 0.750 0.750 0.750


Which structure wins on stability? a wins.